Ac4Au2N: relaxed, PBE.

Results
Spin magnetization = 0.000 μB per cell
Relative energy among the computed polymorphs = 0.00 eV/f.u.

Structure (CIF):
```
data_Ac4Au2N
_space_group_name_H-M_alt 'P 1 21/m 1'
_space_group_IT_number 11
_space_group_name_Hall '-P 2yb'
_cell_length_a 7.371
_cell_length_b 7.717
_cell_length_c 8.598
_cell_angle_alpha 90.00
_cell_angle_beta 106.93
_cell_angle_gamma 90.00
loop_
_atom_site_label
_atom_site_type_symbol
_atom_site_fract_x
_atom_site_fract_y
_atom_site_fract_z
Ac1 Ac 0.014 0.011 0.253
Ac2 Ac 0.431 0.250 0.591
Ac3 Ac 0.444 0.250 0.128
Au1 Au 0.210 0.750 0.548
Au2 Au 0.230 0.750 0.061
N1 N 0.245 0.250 0.307
```